ScTe2Ru | PBE | relaxed

CIF file:
```
data_ScTe2Ru
_cell_length_a 3.6255
_cell_length_b 3.6255
_cell_length_c 7.4889
_cell_angle_alpha 90.00
_cell_angle_beta 90.00
_cell_angle_gamma 90.00
_space_group_name_H-M_alt 'P 4 m m'
_space_group_IT_number 99
loop_
_space_group_symop_operation_xyz
'x,y,z'
'-y,x,z'
'-x,-y,z'
'y,-x,z'
'-x,y,z'
'y,x,z'
'x,-y,z'
'-y,-x,z'
loop_
_atom_site_label
_atom_site_fract_x
_atom_site_fract_y
_atom_site_fract_z
_atom_site_occupancy
Sc1 0.0000 0.0000 0.0000 1
Te1 0.0000 0.0000 0.6130 1
Te2 0.5000 0.5000 0.1661 1
Ru1 0.5000 0.5000 0.7770 1
```

Calculated values
* calculated density: 6.8 Mg/m³
* E_form (uncorrected): -10.79 kcal/mol of atoms
* E: -5.9405 eV/atom
* polymorph energy (0 for the lowest one): 0.0 kJ/mol of formula units